Here is an optimized crystal structure of SrTlV2O8 from Alexandria via LeMat-Bulk. Energies are from GGA+U.

Results
- E_tot (eV per atom) = -6.55
- Fermi-level density of states (states/eV/f.u.) = 9.4
- SG = P-3m1, No. 164

Lattice parameters (Å, degrees): 5.7594 5.7594 7.2169 90.00 90.00 120.00
With the nearest neighbours (Å) after each atom.
Fractional positions:
Sr1 0.0000 0.0000 0.5000  6 O 2.64
Tl1 0.0000 0.0000 0.0000  6 O 2.24
V1 0.6667 0.3333 0.2807  4 O 1.68-1.76
V2 0.3333 0.6667 0.7193  4 O 1.68-1.76
O1 0.8361 0.1639 0.2127  1 V 1.76
O2 0.8361 0.6722 0.2127  1 V 1.76
O3 0.3278 0.1639 0.2127  1 V 1.76
O4 0.6722 0.8361 0.7873  1 V 1.76
O5 0.3333 0.6667 0.4863  1 V 1.68
O6 0.6667 0.3333 0.5137  1 V 1.68
O7 0.1639 0.8361 0.7873  1 V 1.76
O8 0.1639 0.3278 0.7873  1 V 1.76